1.
Entry from Alexandria via LeMat-Bulk: Pr4Nd2Sm2Ho after structural relaxation (PBE-GGA).

The structure belongs to space group C2/m (No. 12); the cell edges are 19.1528, 3.6968 and 9.8565 Å and the angles 90.00°, 115.50° and 90.00°. The asymmetric unit holds Pr at (0.0176, 0.0000, 0.3304), Pr at (0.1851, 0.5000, 0.3311), Nd at (0.1655, 0.0000, 0.9986), Sm at (0.1484, 0.5000, 0.6693) and Ho at (0.0000, 0.5000, 0.0000).

The formation energy is 0.015 eV/atom. The calculation puts the energy at -4.726 eV per atom.

=====

2.
Entry from Alexandria via LeMat-Bulk: PrNd2Sm5Ho after structural relaxation (PBE-GGA).

The structure belongs to space group I4/mcm (No. 140); the cell edges are 8.8529, 8.8529 and 15.8262 Å and the angles 90.00°, 90.00° and 90.00°. The asymmetric unit holds Pr at (0.0000, 0.0000, 0.2500), Nd at (0.1175, 0.3825, 0.0000), Sm at (0.0000, 0.0000, 0.0000), Sm at (0.2097, 0.2903, 0.3617) and Ho at (0.0000, 0.5000, 0.2500).

The formation energy is 0.267 eV/atom. The calculation puts the energy at -4.453 eV per atom.

=====

3.
Entry from Alexandria via LeMat-Bulk: Pr5Nd2SmHo after structural relaxation (PBE-GGA).

The structure belongs to space group I4/mcm (No. 140); the cell edges are 8.8237, 8.8237 and 16.4892 Å and the angles 90.00°, 90.00° and 90.00°. The asymmetric unit holds Pr at (0.0000, 0.0000, 0.0000), Pr at (0.2135, 0.2865, 0.1415), Nd at (0.1192, 0.3808, 0.5000), Sm at (0.0000, 0.0000, 0.2500) and Ho at (0.0000, 0.5000, 0.2500).

The formation energy is 0.272 eV/atom. The calculation puts the energy at -4.475 eV per atom.

=====

4.
Entry from Alexandria via LeMat-Bulk: Pr2NdSmHo2 after structural relaxation (PBE-GGA).

The structure belongs to space group Pmma (No. 51); the cell edges are 7.0946, 5.7510 and 9.9448 Å and the angles 90.00°, 90.00° and 90.00°. The asymmetric unit holds Pr at (0.0000, 0.0000, 0.0000), Pr at (0.2500, 0.5000, 0.1700), Nd at (0.2500, 0.0000, 0.6646), Sm at (0.0000, 0.5000, 0.5000), Ho at (0.2500, 0.0000, 0.3341) and Ho at (0.2500, 0.5000, 0.8336).

The formation energy is 0.065 eV/atom. The calculation puts the energy at -4.636 eV per atom.